# 1
Material: Li2TlPbCl8
Method: DFT, PBE-GGA
State: relaxed

abc: 6.208 6.200 8.158
angles: 90.00 90.00 95.53
Atoms (fractional coordinates):
1 Li 0.500 0.500 0.758
2 Li 0.500 0.500 0.242
3 Tl 0.000 0.000 0.000
4 Pb 0.000 0.000 0.500
5 Cl 0.198 0.799 0.241
6 Cl 0.691 0.694 0.000
7 Cl 0.802 0.201 0.241
8 Cl 0.802 0.201 0.759
9 Cl 0.309 0.306 0.000
10 Cl 0.198 0.799 0.759
11 Cl 0.676 0.678 0.500
12 Cl 0.324 0.322 0.500

Results
- VASP energy: -37.38 eV/cell
- Volume: 313 Å³/cell
- Energy relative to the elements, uncorrected: -1.059 eV/atom
- Density of states at the Fermi level: 0.236 states/eV per atom

# 2
Material: LiTlPbCl4
Method: DFT, PBE-GGA
State: relaxed

abc: 6.915 7.083 8.749
angles: 90.00 108.40 90.00
Atoms (fractional coordinates):
1 Li 0.233 0.750 0.313
2 Li 0.767 0.250 0.687
3 Tl 0.731 0.750 0.936
4 Tl 0.269 0.250 0.064
5 Pb 0.781 0.750 0.450
6 Pb 0.219 0.250 0.550
7 Cl 0.000 0.500 0.721
8 Cl 0.000 0.000 0.279
9 Cl 0.000 0.500 0.279
10 Cl 0.000 0.000 0.721
11 Cl 0.441 0.750 0.149
12 Cl 0.559 0.250 0.851
13 Cl 0.449 0.750 0.581
14 Cl 0.551 0.250 0.419

Results
- VASP energy: -48.78 eV/cell
- Volume: 407 Å³/cell
- Energy relative to the elements, uncorrected: -1.288 eV/atom
- Density of states at the Fermi level: 0.000 states/eV per atom

# 3
Material: LiTmPbCl6
Method: DFT, PBE-GGA
State: relaxed

abc: 6.716 6.716 12.614
angles: 90.00 90.00 120.00
Atoms (fractional coordinates):
1 Li 0.667 0.333 0.250
2 Li 0.333 0.667 0.750
3 Tm 0.333 0.667 0.250
4 Tm 0.667 0.333 0.750
5 Pb 0.000 0.000 0.000
6 Pb 0.000 0.000 0.500
7 Cl 0.643 0.642 0.134
8 Cl 0.999 0.357 0.134
9 Cl 0.357 0.999 0.634
10 Cl 0.001 0.643 0.866
11 Cl 0.358 0.357 0.366
12 Cl 0.999 0.642 0.366
13 Cl 0.642 0.999 0.866
14 Cl 0.643 0.001 0.366
15 Cl 0.001 0.358 0.634
16 Cl 0.358 0.001 0.134
17 Cl 0.642 0.643 0.634
18 Cl 0.357 0.358 0.866

Results
- VASP energy: -74.78 eV/cell
- Volume: 493 Å³/cell
- Energy relative to the elements, uncorrected: -1.802 eV/atom
- Density of states at the Fermi level: 0.000 states/eV per atom